Record 1
## PrGaPdPt (PBE-GGA)

Data for a geometry-optimized PrGaPdPt structure.

Structure (POSCAR):
```
PrGaPdPt
1.0
-0.5295 -3.2888 2.9449
2.6236 -0.5878 -3.5412
7.4852 3.2740 5.0022
Ga Pd Pr Pt
2 2 2 2
Cartesian
1.8262 0.7988 1.2204 Ga
5.6590 2.4752 3.7818 Ga
4.0322 -0.4123 0.2646 Pd
6.5981 0.7100 1.9793 Pd
1.5726 -1.4882 -1.3792 Pr
4.2641 -0.7515 3.2840 Pr
1.8863 -1.7915 1.6949 Pt
6.6420 0.2886 4.8731 Pt
```

Properties
Total DFT energy (no corrections) = -5.6725 eV/atom
Space group = P-6m2

=====

Record 2
## PaGaPO (PBE-GGA)

Data for a geometry-optimized PaGaPO structure.

Structure (POSCAR):
```
PaGaPO
1.0
-2.2029 3.3967 1.6469
-3.8430 -1.3566 -2.3424
-1.8879 -3.7904 5.2925
Ga O P Pa
2 2 2 2
Cartesian
-4.2085 -2.9365 0.4271 Ga
-2.3320 -3.8360 4.7925 Ga
-5.1449 -1.0435 1.0699 O
-3.4336 -2.0014 5.3346 O
-2.0972 -1.6410 0.5794 P
-3.7784 -3.7965 2.7762 P
-3.9104 0.4553 -0.3701 Pa
-3.3834 -0.9206 3.1728 Pa
```

Properties
E above lowest polymorph = 208.4 meV/atom
Space group = Pmc2_1